Compound: GaPbI2O
Source: Alexandria via LeMat-Bulk
Functional: GGA-PBE
Structure: optimized geometry

Calculated values
Density of states at the Fermi level, states/eV per cell: 0.8
Size of the total moment, Bohr magnetons per cell: 0.000
Space-group type: P4/mmm
E_form (uncorrected), eV/atom: -0.31
Uncorrected energy, eV/atom: -3.268

a = 6.3627 Å, b = 6.3627 Å, c = 4.2445 Å
α = 90.00°, β = 90.00°, γ = 90.00°
Element x y z (fractional)
Ga1 0.0000 0.0000 0.0000
Pb1 0.5000 0.5000 0.5000
I1 0.0000 0.5000 0.5000
I2 0.5000 0.0000 0.5000
O1 0.5000 0.5000 0.0000



Compound: BaCu4Sn12
Source: Alexandria via LeMat-Bulk
Functional: GGA-PBE
Structure: optimized geometry

Calculated values
DFT formation energy, eV per atom: -0.079
Density of states at the Fermi level, states/eV per cell: 10.8
Size of the total moment, Bohr magnetons per cell: 0.000
Space-group type: Im-3
Uncorrected energy, eV/atom: -3.981

a = 8.2287 Å, b = 8.2287 Å, c = 8.2287 Å
α = 109.47°, β = 109.47°, γ = 109.47°
Element x y z (fractional)
Ba1 0.0000 0.0000 0.0000
Cu1 0.0000 0.0000 0.5000
Cu2 0.0000 0.5000 0.0000
Cu3 0.5000 0.0000 0.0000
Cu4 0.5000 0.5000 0.5000
Sn1 0.1639 0.5091 0.3452
Sn2 0.1639 0.8187 0.6548
Sn3 0.1813 0.3452 0.8361
Sn4 0.3452 0.1639 0.5091
Sn5 0.3452 0.8361 0.1813
Sn6 0.4909 0.6548 0.8361
Sn7 0.5091 0.3452 0.1639
Sn8 0.6548 0.1639 0.8187
Sn9 0.6548 0.8361 0.4909
Sn10 0.8187 0.6548 0.1639
Sn11 0.8361 0.1813 0.3452
Sn12 0.8361 0.4909 0.6548



Compound: TlAg2Br2
Source: Alexandria via LeMat-Bulk
Functional: GGA-PBE
Structure: optimized geometry

Calculated values
Density of states at the Fermi level, states/eV per cell: 1.5
Size of the total moment, Bohr magnetons per cell: 0.000
Space-group type: I4/mmm
E_form (uncorrected), eV/atom: -0.22
Uncorrected energy, eV/atom: -2.505

a = 8.8533 Å, b = 8.8533 Å, c = 8.8533 Å
α = 153.30°, β = 153.30°, γ = 38.12°
Element x y z (fractional)
Tl1 0.0000 0.0000 0.0000
Ag1 0.2500 0.7500 0.5000
Ag2 0.7500 0.2500 0.5000
Br1 0.3844 0.3844 0.0000
Br2 0.6156 0.6156 0.0000



Compound: NdDy2Ag
Source: Alexandria via LeMat-Bulk
Functional: GGA-PBE
Structure: optimized geometry

Calculated values
DFT formation energy, eV per atom: -0.015
Density of states at the Fermi level, states/eV per cell: 5.0
Size of the total moment, Bohr magnetons per cell: 0.000
Space-group type: R-3m
Uncorrected energy, eV/atom: -4.221

a = 10.7458 Å, b = 10.7458 Å, c = 10.7458 Å
α = 19.24°, β = 19.24°, γ = 19.24°
Element x y z (fractional)
Nd1 0.0000 0.0000 0.0000
Dy1 0.2400 0.2400 0.2400
Dy2 0.7600 0.7600 0.7600
Ag1 0.5000 0.5000 0.5000